No. 1
Material: BaScIn3
Method: DFT, PBE-GGA
State: relaxed

Cell lengths 6.0444, 6.0444, 6.0444 Å; angles 90.00, 90.00, 90.00 degrees
Closest atoms and distances in Å follow each position.
Atoms (fractional coordinates):
Ba1 0.0000 0.0000 0.0000  6 In 3.02
Sc1 0.5000 0.5000 0.5000  12 In 4.27
In1 0.0000 0.0000 0.5000  2 Ba 3.02
In2 0.0000 0.5000 0.0000  2 Ba 3.02
In3 0.5000 0.0000 0.0000  2 Ba 3.02

The calculation puts the formation energy from the elements at 1.05 eV/atom. Its space-group type is Pm-3m. For the spin magnetization, the calculation gives 0.000 μB per atom.

No. 2
Material: Ba4ScIn
Method: DFT, PBE-GGA
State: relaxed

Cell lengths 7.2976, 7.2976, 7.2976 Å; angles 60.00, 60.00, 60.00 degrees
Closest atoms and distances in Å follow each position.
Atoms (fractional coordinates):
Ba1 0.1248 0.1248 0.1248  6 Ba 3.64-3.65
Ba2 0.1248 0.1248 0.6256  6 Ba 3.64-3.65
Ba3 0.1248 0.6256 0.1248  6 Ba 3.64-3.65
Ba4 0.6256 0.1248 0.1248  6 Ba 3.64-3.65
Sc1 0.5000 0.5000 0.5000  12 Ba 4.28, 4 In 4.47
In1 0.7500 0.7500 0.7500  12 Ba 4.28, 4 Sc 4.47

The calculation puts the formation energy from the elements at 0.48 eV/atom. Its space-group type is F-43m. For the spin magnetization, the calculation gives 0.356 μB per atom.

No. 3
Material: Ba2ScInSe5
Method: DFT, PBE-GGA
State: relaxed

Cell lengths 9.7200, 9.7200, 13.3928 Å; angles 90.00, 90.00, 154.81 degrees
Closest atoms and distances in Å follow each position.
Atoms (fractional coordinates):
Ba1 0.1199 0.8801 0.5000  7 Se 3.28-3.61
Ba2 0.1342 0.8658 0.1284  7 Se 3.31-3.42
Ba3 0.8658 0.1342 0.6284  7 Se 3.31-3.42
Ba4 0.8801 0.1199 0.0000  7 Se 3.28-3.61
Sc1 0.2127 0.7873 0.8366  5 Se 2.61-2.88
Sc2 0.7873 0.2127 0.3366  5 Se 2.61-2.88
In1 0.4433 0.5567 0.2568  4 Se 2.55-2.69
In2 0.5567 0.4433 0.7568  4 Se 2.55-2.69
Se1 0.0561 0.9439 0.8726  2 In 2.63
Se2 0.2909 0.7091 0.4665  2 Sc 2.74
Se3 0.3086 0.6914 0.1936  1 In 2.69, 2 Sc 2.88
Se4 0.3494 0.6506 0.8180  1 Sc 2.61
Se5 0.4964 0.5036 0.5864  1 In 2.55
Se6 0.5036 0.4964 0.0864  1 In 2.55
Se7 0.6506 0.3494 0.3180  1 Sc 2.61
Se8 0.6914 0.3086 0.6936  1 In 2.69, 2 Sc 2.88
Se9 0.7091 0.2909 0.9665  2 Sc 2.74
Se10 0.9439 0.0561 0.3726  2 In 2.63

Its space-group type is Cmc2_1. For the spin magnetization, the calculation gives 0.000 μB per atom. The calculation puts the raw formation energy at -1564 meV/atom.

No. 4
Material: Ba2ScInTe5
Method: DFT, PBE-GGA
State: relaxed

Cell lengths 10.4417, 10.4417, 14.2243 Å; angles 90.00, 90.00, 155.00 degrees
Closest atoms and distances in Å follow each position.
Atoms (fractional coordinates):
Ba1 0.1210 0.8790 0.5000  7 Te 3.49-3.81
Ba2 0.1327 0.8673 0.1287  7 Te 3.53-3.65
Ba3 0.8673 0.1327 0.6287  7 Te 3.53-3.65
Ba4 0.8790 0.1210 0.0000  7 Te 3.49-3.81
Sc1 0.2105 0.7895 0.8354  5 Te 2.86-3.09
Sc2 0.7895 0.2105 0.3354  5 Te 2.86-3.09
In1 0.4417 0.5583 0.2523  4 Te 2.76-2.89
In2 0.5583 0.4417 0.7523  4 Te 2.76-2.89
Te1 0.0557 0.9443 0.8723  2 In 2.83
Te2 0.2913 0.7087 0.4692  2 Sc 2.95
Te3 0.3068 0.6932 0.1891  1 In 2.89, 2 Sc 3.09
Te4 0.3500 0.6500 0.8173  1 Sc 2.86
Te5 0.4962 0.5038 0.5798  1 In 2.76
Te6 0.5038 0.4962 0.0798  1 In 2.76
Te7 0.6500 0.3500 0.3173  1 Sc 2.86
Te8 0.6932 0.3068 0.6891  1 In 2.89, 2 Sc 3.09
Te9 0.7087 0.2913 0.9692  2 Sc 2.95
Te10 0.9443 0.0557 0.3723  2 In 2.83

Its space-group type is Cmc2_1. For the spin magnetization, the calculation gives 0.000 μB per atom. The calculation puts the raw formation energy at -1232 meV/atom.

How do the records compare in uncorrected energy? In the order shown, they have -11.2 -13.9 -88.8 -79.4 eV/cell.